A plane-wave DFT calculation with PBE was carried out for an optimized crystal structure of Cr2In2Au.

The density of states at the Fermi level is 0.8096 states/eV per atom. The value obtained for the total energy is -5.119 eV/atom. The value obtained for the formation energy is 0.4808 eV/atom. The calculation puts the energy above the lowest structure with this stoichiometry at 0.796 eV/f.u. The volume is 18.50 Å³/atom.

Structure (extended XYZ):
```
10
Lattice="-6.817 -1.642 3.634 2.464 -7.394 1.281 1.177 0.841 2.588" Properties=species:S:1:pos:R:3 pbc="T T T"
Cr 1.430 -4.088 2.376
Cr -1.190 -7.278 4.604
Cr -4.606 -4.107 5.127
Cr -1.987 -0.917 2.900
Au 0.000 0.000 0.000
Au -2.177 -4.518 2.458
In -0.089 -6.439 2.132
In -3.761 -6.470 3.812
In -4.265 -2.598 2.783
In -0.593 -2.566 1.103
```



A plane-wave DFT calculation with PBE was carried out for an optimized crystal structure of Sr2SbOsC.

The density of states at the Fermi level is 1.4070 states/eV per atom. The value obtained for the total energy is -4.005 eV/atom. For the energy relative to the elements, uncorrected, the calculation gives 1.583 eV/atom. The volume is 38.18 Å³/atom.

Structure (extended XYZ):
```
5
Lattice="6.278 0.000 0.000 0.000 4.844 0.000 0.000 0.000 6.278" Properties=species:S:1:pos:R:3 pbc="T T T"
Sb 0.000 0.000 0.000
C 3.139 2.422 3.139
Os 0.000 2.422 0.000
Sr 0.000 0.000 3.139
Sr 3.139 0.000 0.000
```



A plane-wave DFT calculation with PBE was carried out for an optimized crystal structure of MgAl2Sb.

The density of states at the Fermi level is 0.4804 states/eV per atom. The value obtained for the total energy is -3.227 eV/atom. For the energy relative to the elements, uncorrected, the calculation gives 0.073 eV/atom. The volume is 21.92 Å³/atom.

Structure (extended XYZ):
```
4
Lattice="6.125 0.043 0.065 -3.447 5.063 0.065 1.033 1.969 2.864" Properties=species:S:1:pos:R:3 pbc="T T T"
Al 0.000 0.000 0.000
Al 1.339 2.553 0.065
Mg 3.579 1.006 1.464
Sb -1.207 3.516 1.464
```



A plane-wave DFT calculation with PBE was carried out for an optimized crystal structure of Ho2ZnGa4Pd3.

The density of states at the Fermi level is 0.4041 states/eV per atom. The value obtained for the total energy is -4.517 eV/atom. The value obtained for the formation energy is -0.7051 eV/atom. The volume is 18.50 Å³/atom.

Structure (extended XYZ):
```
10
Lattice="-3.799 -1.276 -0.343 1.301 -3.429 -1.651 0.657 -4.748 10.380" Properties=species:S:1:pos:R:3 pbc="T T T"
Ho -1.736 -1.817 2.405
Ho 1.145 -5.284 6.978
Zn -0.920 -4.727 4.193
Ga -1.249 -2.353 -0.997
Ga 0.000 0.000 0.000
Ga -1.480 -3.672 6.460
Ga 0.888 -3.429 2.923
Pd 0.329 -2.374 5.190
Pd -1.337 -4.705 8.718
Pd 0.745 -2.396 0.665
```



A plane-wave DFT calculation with PBE was carried out for an optimized crystal structure of LiBe4Br.

The density of states at the Fermi level is 0.1860 states/eV per atom. The value obtained for the total energy is -2.486 eV/atom. For the energy relative to the elements, uncorrected, the calculation gives 0.596 eV/atom. The volume is 12.27 Å³/atom.

Structure (extended XYZ):
```
6
Lattice="0.357 -4.451 -1.483 -3.867 -2.398 -1.196 -0.816 -1.049 -4.513" Properties=species:S:1:pos:R:3 pbc="T T T"
Li 0.000 0.000 0.000
Be -1.418 -5.230 -3.433
Be -2.025 -3.470 -5.001
Be -3.604 -4.168 -3.284
Be -1.603 -2.927 -2.665
Br -3.244 -5.923 -5.394
```



A plane-wave DFT calculation with PBE was carried out for an optimized crystal structure of Er2PaPtO8.

The density of states at the Fermi level is 0.5353 states/eV per atom. The value obtained for the total energy is -7.982 eV/atom. For the energy relative to the elements, uncorrected, the calculation gives -2.621 eV/atom. The volume is 14.15 Å³/atom.

Structure (extended XYZ):
```
12
Lattice="5.010 -0.069 -0.003 -0.051 5.006 -0.006 0.004 0.008 6.771" Properties=species:S:1:pos:R:3 pbc="T T T"
Er 2.483 2.474 5.128
Er 2.480 2.470 1.634
Pa 0.002 0.004 3.386
Pt 0.000 0.000 0.000
O 0.879 4.070 1.568
O 3.553 3.541 -0.006
O 4.081 0.870 1.569
O 4.084 0.874 5.195
O 1.410 1.402 6.769
O 0.882 4.074 5.193
O 3.460 3.449 3.380
O 1.503 1.495 3.383
```